# Si2AsRh (SCAN, PBEsol geometry)
data_Si2AsRh
_chemical_formula_sum 'Si4 As2 Rh2'
_space_group_name_H-M_alt 'P 1'
_space_group_IT_number 1
_cell_length_a 5.555
_cell_length_b 5.555
_cell_length_c 6.435
_cell_angle_alpha 115.57
_cell_angle_beta 115.57
_cell_angle_gamma 90.00
loop_
_space_group_symop_operation_xyz
'x,y,z'
loop_
_atom_site_label
_atom_site_type_symbol
_atom_site_fract_x
_atom_site_fract_y
_atom_site_fract_z
_atom_site_occupancy
As1 As 0.750 0.250 0.500 1
As2 As 0.500 0.500 0.000 1
Rh1 Rh 0.250 0.750 0.500 1
Rh2 Rh 0.000 0.000 0.000 1
Si1 Si 0.354 0.875 0.250 1
Si2 Si 0.896 0.375 0.250 1
Si3 Si 0.125 0.104 0.750 1
Si4 Si 0.625 0.646 0.750 1
# Total DFT energy (no corrections) in eV/atom: -18.6127
# Total magnetic moment in μB/f.u.: 0.000
# Energy above the lowest structure with this stoichiometry in meV per atom: 118

---

# Ti3Al (SCAN, PBEsol geometry)
data_Ti3Al
_chemical_formula_sum 'Ti6 Al2'
_space_group_name_H-M_alt 'P 1'
_space_group_IT_number 1
_cell_length_a 4.603
_cell_length_b 5.677
_cell_length_c 5.677
_cell_angle_alpha 120.00
_cell_angle_beta 90.00
_cell_angle_gamma 90.00
loop_
_space_group_symop_operation_xyz
'x,y,z'
loop_
_atom_site_label
_atom_site_type_symbol
_atom_site_fract_x
_atom_site_fract_y
_atom_site_fract_z
_atom_site_occupancy
Al1 Al 0.250 0.333 0.667 1
Al2 Al 0.750 0.667 0.333 1
Ti1 Ti 0.250 0.339 0.170 1
Ti2 Ti 0.750 0.170 0.830 1
Ti3 Ti 0.750 0.170 0.339 1
Ti4 Ti 0.250 0.830 0.661 1
Ti5 Ti 0.250 0.830 0.170 1
Ti6 Ti 0.750 0.661 0.830 1
# Total DFT energy (no corrections) in eV/atom: -14.2449
# Total magnetic moment in μB/f.u.: 0.003
# Formation energy in kJ/mol of formula units: -110

---

# LaTe2Os (SCAN, PBEsol geometry)
data_LaTe2Os
_chemical_formula_sum 'La1 Te2 Os1'
_space_group_name_H-M_alt 'P 1'
_space_group_IT_number 1
_cell_length_a 3.294
_cell_length_b 3.294
_cell_length_c 10.386
_cell_angle_alpha 80.88
_cell_angle_beta 80.88
_cell_angle_gamma 60.00
loop_
_space_group_symop_operation_xyz
'x,y,z'
loop_
_atom_site_label
_atom_site_type_symbol
_atom_site_fract_x
_atom_site_fract_y
_atom_site_fract_z
_atom_site_occupancy
Te1 Te 0.918 0.918 0.245 1
Te2 Te 0.082 0.082 0.755 1
Os1 Os 0.000 0.000 0.000 1
La1 La 0.500 0.500 0.500 1
# Total DFT energy (no corrections) in eV/atom: -46.9362
# Total magnetic moment in μB/f.u.: 0.000
# Energy above the lowest structure with this stoichiometry in meV per atom: 889